[1]
Here is Rb2LiCrSe4 after structural relaxation from Alexandria. Energies are from PBE.

```
Rb2LiCrSe4
1.0
5.994 0.000 0.000
2.997 6.844 0.000
2.997 0.000 12.343
Cr Rb Se Li
2 4 8 2
direct
0.250 0.500 0.500
0.500 0.000 0.000
0.179 0.000 0.642
0.929 0.500 0.142
0.571 0.500 0.858
0.821 0.000 0.358
0.569 0.192 0.107
0.181 0.308 0.393
0.512 0.308 0.607
0.868 0.808 0.893
0.426 0.692 0.393
0.238 0.192 0.893
0.882 0.692 0.607
0.324 0.808 0.107
0.000 0.000 0.000
0.750 0.500 0.500
```

[2]
Here is SrBiNO2 after structural relaxation from Alexandria. Energies are from PBE.

```
SrBiNO2
1.0
4.334 0.000 0.000
0.000 4.334 0.000
0.000 0.000 4.266
O Bi Sr N
2 1 1 1
direct
0.000 0.500 0.000
0.500 0.000 0.000
0.000 0.000 0.000
0.500 0.500 0.500
0.000 0.000 0.500
```

For reference, uncorrected energy by record: -4.305 -5.607 eV/atom.
For reference, magnetic moment by record: 1.00 0.00 μB per formula unit.